VASP calculation (PBE) on crystalline Pm2PrDy2Y4 at its relaxed geometry.

Unit cell a=18.8407 b=3.6294 c=9.6407 alpha=90.00 beta=115.73 gamma=90.00
With the nearest neighbours (Å) after each atom.
Space group C2/m (No. 12)
Asymmetric unit:
Pm: 0.1671 0.0000 0.4989 [4 per cell]  3 Dy 3.58, 3 Y 3.60, 4 Pm 3.60-3.63, 2 Pr 3.64
Pr: 0.0000 0.5000 0.5000 [2 per cell]  6 Y 3.60, 2 Pr 3.63, 4 Pm 3.64
Dy: 0.1481 0.5000 0.1648 [4 per cell]  7 Y 3.53-3.63, 3 Pm 3.58, 2 Dy 3.63
Y: 0.0194 0.0000 0.8375 [4 per cell]  5 Y 3.51-3.64, 4 Dy 3.53-3.63, 1 Pm 3.60, 2 Pr 3.60
Y: 0.1863 0.5000 0.8358 [4 per cell]  6 Y 3.53-3.64, 3 Dy 3.54-3.61, 1 Pr 3.60, 2 Pm 3.60

## Properties
ΔE_f ... 0.0 eV/f.u.


VASP calculation (PBE) on crystalline TmCd2Au2 at its relaxed geometry.

Unit cell a=9.3350 b=6.6459 c=7.6424 alpha=90.00 beta=112.56 gamma=90.00
With the nearest neighbours (Å) after each atom.
Space group C2/c (No. 15)
Asymmetric unit:
Tm: 0.0000 0.0868 0.2500 [4 per cell]  6 Au 2.91-3.08
Cd: 0.1271 0.3989 0.9565 [8 per cell]  3 Cd 2.91-3.14, 5 Au 2.92-3.01
Au: 0.1818 0.2094 0.6437 [8 per cell]  3 Tm 2.91-3.08, 5 Cd 2.92-3.01, 1 Au 2.98

## Properties
Energy relative to the lowest polymorph listed for this composition ... 0.00 eV/f.u.
ΔE_f ... -2.3 eV/f.u.


VASP calculation (PBE) on crystalline SrAc14Nd at its relaxed geometry.

Unit cell a=7.9858 b=7.9858 c=11.2661 alpha=90.00 beta=90.00 gamma=90.00
With the nearest neighbours (Å) after each atom.
Space group P4/mmm (No. 123)
Asymmetric unit:
Sr: 0.0000 0.0000 0.0000 [1 per cell]  12 Ac 3.99-4.03
Ac: 0.0000 0.0000 0.5000 [1 per cell]  12 Ac 3.99-4.02
Ac: 0.0000 0.5000 0.0000 [2 per cell]  8 Ac 3.99, 2 Nd 3.99, 2 Sr 3.99
Ac: 0.0000 0.5000 0.5000 [2 per cell]  12 Ac 3.99
Ac: 0.2547 0.2547 0.2502 [8 per cell]  10 Ac 3.92-4.07, 1 Nd 3.95, 1 Sr 4.03
Ac: 0.5000 0.5000 0.5000 [1 per cell]  12 Ac 3.95-3.99
Nd: 0.5000 0.5000 0.0000 [1 per cell]  12 Ac 3.95-3.99

## Properties
ΔE_f ... 0.4 eV/f.u.


VASP calculation (PBE) on crystalline Dy8Ge5Pt at its relaxed geometry.

Unit cell a=8.7829 b=8.7829 c=8.9100 alpha=90.00 beta=90.00 gamma=90.00
With the nearest neighbours (Å) after each atom.
Space group I-4 (No. 82)
Asymmetric unit:
Dy: 0.0639 0.3109 0.0566 [8 per cell]  1 Pt 2.83, 2 Ge 2.88-2.92
Dy: 0.0682 0.1844 0.6876 [8 per cell]  5 Ge 2.89-3.22
Ge: 0.0000 0.5000 0.7500 [2 per cell]  4 Dy 2.89
Ge: 0.1242 0.2507 0.3738 [8 per cell]  6 Dy 2.88-3.22
Pt: 0.0000 0.0000 0.0000 [2 per cell]  4 Dy 2.83

## Properties
ΔE_f ... -12.1 eV/f.u.


VASP calculation (PBE) on crystalline Tb4Sm2Th at its relaxed geometry.

Unit cell a=6.2553 b=3.6055 c=20.4116 alpha=90.00 beta=96.01 gamma=90.00
With the nearest neighbours (Å) after each atom.
Space group Cm (No. 8)
Asymmetric unit:
Tb: 0.0000 0.0000 0.0000 [2 per cell]  6 Sm 3.56-3.59, 6 Tb 3.61
Tb: 0.0247 0.5000 0.5717 [2 per cell]  9 Tb 3.54-3.61, 3 Th 3.56-3.57
Tb: 0.4058 0.5000 0.7127 [2 per cell]  9 Tb 3.54-3.61, 3 Sm 3.59
Tb: 0.4318 0.0000 0.2864 [2 per cell]  3 Th 3.54-3.58, 3 Sm 3.58-3.60, 6 Tb 3.61
Sm: 0.1231 0.5000 0.8568 [2 per cell]  6 Tb 3.56-3.59, 6 Sm 3.61
Sm: 0.2119 0.5000 0.1424 [2 per cell]  6 Tb 3.56-3.60, 6 Sm 3.61
Th: 0.3069 0.5000 0.4290 [2 per cell]  6 Tb 3.54-3.58, 6 Th 3.61

## Properties
Energy relative to the lowest polymorph listed for this composition ... 0.10 eV/f.u.
ΔE_f ... 0.2 eV/f.u.


VASP calculation (PBE) on crystalline NaLaY2Hg at its relaxed geometry.

Unit cell a=5.5358 b=5.5358 c=5.2074 alpha=90.00 beta=90.00 gamma=90.00
With the nearest neighbours (Å) after each atom.
Space group P4/mmm (No. 123)
Asymmetric unit:
Na: 0.0000 0.0000 0.0000 [1 per cell]  2 Hg 2.60, 4 Y 2.77
La: 0.5000 0.5000 0.5000 [1 per cell]  8 Y 3.80, 4 Hg 3.91
Y: 0.0000 0.5000 0.0000 [2 per cell]  2 Na 2.77
Hg: 0.0000 0.0000 0.5000 [1 per cell]  2 Na 2.60

## Properties
Energy relative to the lowest polymorph listed for this composition ... 0.00 eV/f.u.
ΔE_f ... 2.6 eV/f.u.


VASP calculation (PBE) on crystalline NbIn3Br at its relaxed geometry.

Unit cell a=5.3931 b=5.3931 c=5.3931 alpha=90.00 beta=90.00 gamma=90.00
With the nearest neighbours (Å) after each atom.
Space group Pm-3m (No. 221)
Asymmetric unit:
Nb: 0.0000 0.0000 0.0000 [1 per cell]  12 In 3.81
In: 0.0000 0.5000 0.5000 [3 per cell]  2 Br 2.70
Br: 0.5000 0.5000 0.5000 [1 per cell]  6 In 2.70

## Properties
Energy relative to the lowest polymorph listed for this composition ... 3.72 eV/f.u.
ΔE_f (raw) ... 116 kJ per mole of atoms


VASP calculation (PBE) on crystalline Sm2AlPd4 at its relaxed geometry.

Unit cell a=4.6158 b=4.6158 c=14.7859 alpha=90.00 beta=90.00 gamma=90.00
With the nearest neighbours (Å) after each atom.
Space group I4/mmm (No. 139)
Asymmetric unit:
Sm: 0.0000 0.0000 0.1437 [4 per cell]  5 Pd 2.86-3.14
Al: 0.0000 0.0000 0.5000 [2 per cell]  6 Pd 2.31-2.41
Pd: 0.0000 0.0000 0.3368 [4 per cell]  1 Al 2.41
Pd: 0.0000 0.5000 0.0000 [4 per cell]  2 Al 2.31

## Properties
ΔE_f ... -3.6 eV/f.u.


no.,calculated total energy (eV/atom)
1,-5.49
2,-3.04
3,-3.97
4,-5.57
5,-5.03
6,-3.38
7,-2.79
8,-5.36